Record 1
The following is a PBE-GGA calculation of crystalline NaPm2Cl6 at its relaxed geometry, from Alexandria via LeMat-Bulk.

Results
- Magnetization: 1.00 μB/f.u.
- Offset from the most stable computed form: 0.0 meV per atom
- Uncorrected formation energy: -18.4 eV/f.u.
- Theoretical density: 3.24 g/cm³

Lattice parameters (Å, degrees): 6.697 6.697 11.999 90.00 90.00 90.00
Space group P4_2/mnm (No. 136)
One atom of each set of equivalent atoms:
Na 0.000 0.000 0.000 (multiplicity 2)
Pm 0.000 0.000 0.345 (multiplicity 4)
Cl 0.207 0.207 0.173 (multiplicity 8)
Cl 0.214 0.214 0.500 (multiplicity 4)

Record 2
The following is a PBE-GGA calculation of crystalline Na2PmCl4 at its relaxed geometry, from Alexandria via LeMat-Bulk.

Results
- Magnetization: 0.00 μB/f.u.
- Offset from the most stable computed form: 177.2 meV per atom
- Uncorrected formation energy: -11.7 eV/f.u.
- Theoretical density: 2.47 g/cm³

Lattice parameters (Å, degrees): 5.543 5.543 14.563 90.00 90.00 90.00
Space group I4/mmm (No. 139)
One atom of each set of equivalent atoms:
Na 0.000 0.000 0.132 (multiplicity 4)
Pm 0.000 0.000 0.500 (multiplicity 2)
Cl 0.000 0.000 0.315 (multiplicity 4)
Cl 0.000 0.500 0.000 (multiplicity 4)

Record 3
The following is a PBE-GGA calculation of crystalline NaPmCl4 at its relaxed geometry, from Alexandria via LeMat-Bulk.

Results
- Magnetization: 0.00 μB/f.u.
- Offset from the most stable computed form: 15.1 meV per atom
- Uncorrected formation energy: -12.6 eV/f.u.
- Theoretical density: 2.60 g/cm³

Lattice parameters (Å, degrees): 6.493 4.202 7.338 90.00 98.27 90.00
Space group P2/m (No. 10)
One atom of each set of equivalent atoms:
Na 0.000 0.000 0.000 (multiplicity 1)
Pm 0.000 0.500 0.500 (multiplicity 1)
Cl 0.204 0.500 0.207 (multiplicity 2)
Cl 0.234 0.000 0.668 (multiplicity 2)